Record 1
DFT (PBE) results for NaPr2Sb3Pt4 after structural relaxation.

The structure in POSCAR format:
```
NaPr2Sb3Pt4
1.0
4.544 0.000 0.000
0.000 4.544 0.000
0.000 0.000 11.011
Na Pr Sb Pt
1 2 3 4
Direct
0.000 0.000 0.000 Na
0.000 0.500 0.731 Pr
0.500 0.000 0.269 Pr
0.000 0.500 0.369 Sb
0.500 0.000 0.631 Sb
0.500 0.500 0.000 Sb
0.000 0.000 0.500 Pt
0.000 0.500 0.137 Pt
0.500 0.000 0.863 Pt
0.500 0.500 0.500 Pt
```

Values from the calculation:
Uncorrected formation energy = -0.78 eV per atom
Magnetic moment = 0.00 Bohr magnetons per cell



Record 2
DFT (PBE) results for NaTiI2 after structural relaxation.

The structure in POSCAR format:
```
NaTiI2
1.0
2.017 1.164 10.606
-2.017 1.164 10.606
0.000 -2.329 10.606
Na Ti I
1 1 2
Direct
0.000 0.000 0.000 Na
0.500 0.500 0.500 Ti
0.113 0.113 0.113 I
0.887 0.887 0.887 I
```

Values from the calculation:
Uncorrected formation energy = -0.43 eV per atom
Energy relative to the lowest polymorph listed for this composition = 0.000 eV per formula unit
Magnetic moment = 2.11 Bohr magnetons per cell



Record 3
DFT (PBE) results for KBe2Ir after structural relaxation.

The structure in POSCAR format:
```
KBe2Ir
1.0
-2.567 2.567 6.913
2.567 -2.567 6.913
2.567 2.567 -6.913
K Be Ir
2 4 2
Direct
0.375 0.625 0.750 K
0.625 0.375 0.250 K
0.000 0.000 0.000 Be
0.000 0.000 0.500 Be
0.000 0.500 0.000 Be
0.500 0.000 0.500 Be
0.125 0.875 0.250 Ir
0.875 0.125 0.750 Ir
```

Values from the calculation:
Energy relative to the lowest polymorph listed for this composition = 1.725 eV per formula unit
Magnetic moment = 0.00 Bohr magnetons per cell
Formation energy from the elements = 0.36 eV/atom



Record 4
DFT (PBE) results for Na3Al3Zn8 after structural relaxation.

The structure in POSCAR format:
```
Na3Al3Zn8
1.0
-2.162 4.612 6.559
2.162 -4.612 6.559
2.162 4.612 -6.559
Na Al Zn
3 3 8
Direct
0.000 0.000 0.000 Na
0.297 0.297 0.000 Na
0.703 0.703 0.000 Na
0.298 0.500 0.798 Al
0.500 0.000 0.500 Al
0.702 0.500 0.202 Al
0.029 0.669 0.360 Zn
0.148 0.866 0.282 Zn
0.309 0.669 0.640 Zn
0.416 0.134 0.282 Zn
0.584 0.866 0.718 Zn
0.691 0.331 0.360 Zn
0.852 0.134 0.718 Zn
0.971 0.331 0.640 Zn
```

Values from the calculation:
Magnetic moment = 0.00 Bohr magnetons per cell
Formation energy from the elements = 0.00 eV/atom